# LiEr2AlS5, optimized geometry, DFT GGA-PBE
# VASP energy: -200.88 eV for the cell shown
# Density of states at the Fermi level: 0.0 states/eV/f.u.
# Energy relative to the elements, uncorrected: -1.64 eV/atom
data_LiEr2AlS5
_chemical_formula_sum 'Li4 Er8 Al4 S20'
_cell_length_a 3.748
_cell_length_b 16.507
_cell_length_c 11.103
_cell_angle_alpha 90.00
_cell_angle_beta 90.00
_cell_angle_gamma 90.00
_symmetry_space_group_name_H-M 'C m c 21'
_symmetry_Int_Tables_number 36
_symmetry_space_group_name_Hall 'C 2c -2'
loop_
_atom_site_label
_atom_site_fract_x
_atom_site_fract_y
_atom_site_fract_z
Li1 0.000 0.214 0.000
Er1 0.000 0.122 0.662
Er2 0.000 0.133 0.285
Al1 0.000 0.431 0.438
S1 0.000 0.044 0.046
S2 0.000 0.293 0.651
S3 0.000 0.314 0.331
S4 0.000 0.359 0.982
S5 0.000 0.500 0.263